No. 1
Compound: LaCdSi2
Source: Alexandria
Functional: GGA-PBE
Structure: optimized geometry

## Properties
The space-group type is No. 47. Its uncorrected formation energy is -0.0925 eV per atom. For the density, the calculation gives 5.64 g/cm³. The value obtained for the total magnetic moment is 0.0 μB/cell. The volume comes out at 91 Å³/f.u. The crystal system is orthorhombic. Its uncorrected energy is -4.265 eV per atom.

```
LaCdSi2
1.0
3.3071 0.0000 0.0000
0.0000 4.3854 0.0000
0.0000 0.0000 6.2452
La Cd Si
1 1 2
Cartesian
0.0000 0.0000 0.0000 La
1.6536 0.0000 3.1226 Cd
1.6536 2.1927 1.5905 Si
1.6536 2.1927 4.6547 Si
```

***

No. 2
Compound: La3CdSi
Source: Alexandria
Functional: GGA-PBE
Structure: optimized geometry

## Properties
The space-group type is No. 221. Its uncorrected formation energy is -0.1183 eV per atom. For the density, the calculation gives 4.96 g/cm³. The value obtained for the total magnetic moment is 0.0 μB/cell. The volume comes out at 187 Å³/f.u. The crystal system is cubic. Its uncorrected energy is -4.342 eV per atom.

```
La3CdSi
1.0
5.7148 0.0000 0.0000
0.0000 5.7148 0.0000
0.0000 0.0000 5.7148
La Cd Si
3 1 1
Cartesian
0.0000 0.0000 2.8574 La
0.0000 2.8574 0.0000 La
2.8574 0.0000 0.0000 La
2.8574 2.8574 2.8574 Cd
0.0000 0.0000 0.0000 Si
```